(1)
A plane-wave DFT calculation with PBE was carried out for YAl2Cu2Au after structural relaxation.

Cell lengths 4.7428, 4.7428, 5.5810 Å; angles 90.00, 90.00, 90.00 degrees
Closest atoms and distances in Å follow each position.
Space group P4/mmm (No. 123)
Unique sites:
Y: 0.0000 0.0000 0.0000 x1  2 Au 2.79
Al: 0.0000 0.5000 0.5000 x2  2 Au 2.37
Cu: 0.5000 0.5000 0.2303 x2  1 Cu 2.57, 4 Al 2.81
Au: 0.0000 0.0000 0.5000 x1  4 Al 2.37

## Properties
Raw total energy   -4.19 eV/atom
ΔE_f   0.044 eV per atom
Fermi-level density of states   3.9 states/eV/f.u.


(2)
A plane-wave DFT calculation with PBE was carried out for La2SnP after structural relaxation.

Cell lengths 8.1877, 8.1877, 7.3568 Å; angles 90.00, 90.00, 90.00 degrees
Closest atoms and distances in Å follow each position.
Space group I-42d (No. 122)
Unique sites:
La: 0.2160 0.2500 0.1250 x8  2 P 2.86
Sn: 0.0000 0.0000 0.5000 x4  4 La 3.23
P: 0.0000 0.0000 0.0000 x4  4 La 2.86

## Properties
Polymorph energy (0 for the lowest one)   340 meV/atom
Raw total energy   -5.65 eV/atom
ΔE_f   -0.830 eV per atom
Fermi-level density of states   3.1 states/eV/f.u.


(3)
A plane-wave DFT calculation with PBE was carried out for MgBi2C2 after structural relaxation.

Cell lengths 5.9541, 5.9541, 5.9189 Å; angles 90.00, 90.00, 90.00 degrees
Closest atoms and distances in Å follow each position.
Space group I4/mmm (No. 139)
Unique sites:
Mg: 0.0000 0.0000 0.0000 x2  2 C 2.31
Bi: 0.0000 0.5000 0.2500 x4  2 Bi 2.96, 4 C 3.09
C: 0.0000 0.0000 0.3901 x4  1 C 1.30

## Properties
Polymorph energy (0 for the lowest one)   0 meV/atom
Raw total energy   -4.64 eV/atom
ΔE_f   0.921 eV per atom
Fermi-level density of states   0.5 states/eV/f.u.


(4)
A plane-wave DFT calculation with PBE was carried out for LaCuP2S after structural relaxation.

Cell lengths 4.5013, 4.5013, 4.8367 Å; angles 90.00, 90.00, 90.00 degrees
Closest atoms and distances in Å follow each position.
Space group P4/mmm (No. 123)
Unique sites:
La: 0.0000 0.0000 0.0000 x1  4 S 3.18, 8 P 3.30
Cu: 0.5000 0.5000 0.5000 x1  4 P 2.25, 2 S 2.42
P: 0.0000 0.5000 0.5000 x2  2 Cu 2.25
S: 0.5000 0.5000 0.0000 x1  2 Cu 2.42

## Properties
Polymorph energy (0 for the lowest one)   0 meV/atom
Raw total energy   -5.22 eV/atom
ΔE_f (raw)   -0.42 eV per atom
Fermi-level density of states   3.0 states/eV/f.u.


(5)
A plane-wave DFT calculation with PBE was carried out for CsPt3Au after structural relaxation.

Cell lengths 5.1899, 5.1899, 5.1899 Å; angles 90.00, 90.00, 90.00 degrees
Closest atoms and distances in Å follow each position.
Space group Pm-3m (No. 221)
Unique sites:
Cs: 0.0000 0.0000 0.0000 x1  6 Pt 2.59
Pt: 0.0000 0.0000 0.5000 x3  2 Cs 2.59
Au: 0.5000 0.5000 0.5000 x1  12 Pt 3.67

## Properties
Polymorph energy (0 for the lowest one)   1297 meV/atom
Raw total energy   -2.29 eV/atom
ΔE_f   2.163 eV per atom
Fermi-level density of states   4.8 states/eV/f.u.


(6)
A plane-wave DFT calculation with PBE was carried out for CsSiTc2Pt after structural relaxation.

Cell lengths 5.0288, 5.0288, 5.1389 Å; angles 90.00, 90.00, 90.00 degrees
Closest atoms and distances in Å follow each position.
Space group P4/mmm (No. 123)
Unique sites:
Cs: 0.0000 0.0000 0.0000 x1  4 Tc 2.51, 2 Pt 2.57
Si: 0.5000 0.5000 0.5000 x1  4 Pt 3.56, 8 Tc 3.60
Tc: 0.0000 0.5000 0.0000 x2  2 Cs 2.51
Pt: 0.0000 0.0000 0.5000 x1  2 Cs 2.57

## Properties
Raw total energy   -3.59 eV/atom
ΔE_f (raw)   3.02 eV per atom
Fermi-level density of states   6.4 states/eV/f.u.


(7)
A plane-wave DFT calculation with PBE was carried out for Nd8Ho2Sc after structural relaxation.

Cell lengths 5.7232, 7.9887, 16.3389 Å; angles 90.00, 90.00, 90.00 degrees
Closest atoms and distances in Å follow each position.
Space group Immm (No. 71)
Unique sites:
Nd: 0.0000 0.0000 0.1682 x4  8 Nd 3.55-3.74, 2 Ho 3.59, 2 Sc 3.97
Nd: 0.0000 0.2086 0.3688 x8  1 Sc 3.16, 1 Nd 3.33, 2 Ho 3.49
Nd: 0.0000 0.2811 0.0000 x4  7 Nd 3.50-3.58, 2 Sc 3.64, 2 Ho 3.70
Ho: 0.0000 0.5000 0.1995 x4  10 Nd 3.49-3.70
Sc: 0.0000 0.5000 0.5000 x2  4 Nd 3.16

## Properties
Polymorph energy (0 for the lowest one)   0 meV/atom
Raw total energy   -4.76 eV/atom
ΔE_f   0.112 eV per atom
Fermi-level density of states   16.5 states/eV/f.u.


(8)
A plane-wave DFT calculation with PBE was carried out for GaAsBr2Cl after structural relaxation.

Cell lengths 6.3620, 6.3620, 4.5432 Å; angles 90.00, 90.00, 90.00 degrees
Closest atoms and distances in Å follow each position.
Space group P4/mmm (No. 123)
Unique sites:
Ga: 0.0000 0.0000 0.0000 x1  8 Br 3.91
As: 0.5000 0.5000 0.0000 x1  2 Cl 2.27
Br: 0.0000 0.5000 0.5000 x2  2 Cl 3.18
Cl: 0.5000 0.5000 0.5000 x1  2 As 2.27

## Properties
Polymorph energy (0 for the lowest one)   248 meV/atom
Raw total energy   -2.18 eV/atom
ΔE_f (raw)   0.39 eV per atom
Fermi-level density of states   4.9 states/eV/f.u.


(9)
A plane-wave DFT calculation with PBE was carried out for MnFe after structural relaxation.

Cell lengths 6.9200, 6.9200, 6.9200 Å; angles 90.00, 90.00, 90.00 degrees
Closest atoms and distances in Å follow each position.
Space group I-43m (No. 217)
Unique sites:
Mn: 0.1249 0.1249 0.1249 x8  4 Fe 2.15-2.33
Fe: 0.1959 0.1959 0.8041 x8  4 Mn 2.15-2.33

## Properties
Raw total energy   -7.19 eV/atom
ΔE_f   1.630 eV per atom
Fermi-level density of states   3.7 states/eV/f.u.


(10)
A plane-wave DFT calculation with PBE was carried out for Pm2Si2Ru2C after structural relaxation.

Cell lengths 11.1209, 4.1137, 7.0273 Å; angles 90.00, 128.84, 90.00 degrees
Closest atoms and distances in Å follow each position.
Space group C2/m (No. 12)
Unique sites:
Pm: 0.0626 0.0000 0.2991 x4  2 C 2.70
Si: 0.1610 0.5000 0.7135 x4  3 Ru 2.40-2.43
Ru: 0.2029 0.5000 0.0976 x4  1 C 1.90
C: 0.0000 0.5000 0.0000 x2  2 Ru 1.90

## Properties
Raw total energy   -7.61 eV/atom
ΔE_f (raw)   -0.74 eV per atom
Fermi-level density of states   3.1 states/eV/f.u.


(11)
A plane-wave DFT calculation with PBE was carried out for P4Br after structural relaxation.

Cell lengths 5.9280, 5.9280, 5.9280 Å; angles 90.00, 90.00, 90.00 degrees
Closest atoms and distances in Å follow each position.
Space group Im-3m (No. 229)
Unique sites:
P: 0.2500 0.2500 0.2500 x8  2 Br 2.57
Br: 0.0000 0.0000 0.0000 x2  8 P 2.57

## Properties
Polymorph energy (0 for the lowest one)   1184 meV/atom
Raw total energy   -3.26 eV/atom
ΔE_f (raw)   1.40 eV per atom
Fermi-level density of states   2.5 states/eV/f.u.


(12)
A plane-wave DFT calculation with PBE was carried out for Re2OsRh after structural relaxation.

Cell lengths 9.1454, 2.7460, 4.7343 Å; angles 90.00, 100.22, 90.00 degrees
Closest atoms and distances in Å follow each position.
Space group C2/m (No. 12)
Unique sites:
Re: 0.2465 0.0000 0.2443 x4  6 Re 2.70-2.77, 3 Os 2.72-2.77, 3 Rh 2.74-2.78
Os: 0.0000 0.5000 0.0000 x2  6 Re 2.72-2.77, 4 Rh 2.74, 2 Os 2.75
Rh: 0.0000 0.0000 0.5000 x2  4 Os 2.74, 6 Re 2.74-2.78, 2 Rh 2.75

## Properties
Polymorph energy (0 for the lowest one)   163 meV/atom
Raw total energy   -10.84 eV/atom
ΔE_f   0.025 eV per atom
Fermi-level density of states   4.0 states/eV/f.u.


(13)
A plane-wave DFT calculation with PBE was carried out for LaTiAl2Ir after structural relaxation.

Cell lengths 4.7331, 4.7331, 4.9904 Å; angles 90.00, 90.00, 90.00 degrees
Closest atoms and distances in Å follow each position.
Space group P4/mmm (No. 123)
Unique sites:
La: 0.0000 0.0000 0.0000 x1  4 Ti 3.35, 8 Al 3.44
Ti: 0.5000 0.5000 0.0000 x1  2 Ir 2.50
Al: 0.0000 0.5000 0.5000 x2  2 Ir 2.37
Ir: 0.5000 0.5000 0.5000 x1  4 Al 2.37, 2 Ti 2.50

## Properties
Raw total energy   -6.17 eV/atom
ΔE_f   -0.332 eV per atom
Fermi-level density of states   2.1 states/eV/f.u.


(14)
A plane-wave DFT calculation with PBE was carried out for NdTiZn4 after structural relaxation.

Cell lengths 7.5636, 7.5636, 7.5636 Å; angles 90.00, 90.00, 90.00 degrees
Closest atoms and distances in Å follow each position.
Space group F-43m (No. 216)
Unique sites:
Nd: 0.0000 0.0000 0.0000 x4  12 Zn 3.14, 4 Ti 3.28
Ti: 0.2500 0.2500 0.7500 x4  12 Zn 3.13, 4 Nd 3.28
Zn: 0.1240 0.1240 0.3760 x16  6 Zn 2.65-2.70

## Properties
Raw total energy   -3.14 eV/atom
ΔE_f   -0.181 eV per atom
Fermi-level density of states   7.6 states/eV/f.u.


(15)
A plane-wave DFT calculation with PBE was carried out for Th2Zn3Cu2 after structural relaxation.

Cell lengths 10.0120, 4.3803, 6.7157 Å; angles 90.00, 112.48, 90.00 degrees
Closest atoms and distances in Å follow each position.
Space group C2/m (No. 12)
Unique sites:
Th: 0.1474 0.0000 0.2732 x4  4 Cu 2.95-3.09, 6 Zn 3.13-3.27
Zn: 0.0000 0.5000 0.5000 x2  2 Zn 2.63, 4 Cu 2.77
Zn: 0.1084 0.5000 0.9234 x4  2 Zn 2.63-2.73, 3 Cu 2.63-2.64
Cu: 0.1485 0.0000 0.7337 x4  5 Zn 2.63-2.77, 1 Th 2.95

## Properties
Polymorph energy (0 for the lowest one)   0 meV/atom
Raw total energy   -4.07 eV/atom
ΔE_f   -0.236 eV per atom
Fermi-level density of states   4.5 states/eV/f.u.


(16)
A plane-wave DFT calculation with PBE was carried out for ScTiGaPd after structural relaxation.

Cell lengths 6.5266, 6.5266, 6.5266 Å; angles 90.00, 90.00, 90.00 degrees
Closest atoms and distances in Å follow each position.
Space group F-43m (No. 216)
Unique sites:
Sc: 0.0000 0.0000 0.0000 x4  4 Ga 2.83, 4 Pd 2.83
Ti: 0.0000 0.0000 0.5000 x4  4 Pd 2.83, 4 Ga 2.83
Ga: 0.2500 0.2500 0.7500 x4  4 Sc 2.83, 4 Ti 2.83
Pd: 0.2500 0.2500 0.2500 x4  4 Sc 2.83, 4 Ti 2.83

## Properties
Raw total energy   -6.16 eV/atom
ΔE_f   -0.545 eV per atom
Fermi-level density of states   4.8 states/eV/f.u.